{"formula": "CaPaAlGa", "functional": "PBE-GGA", "state": "optimized geometry", "magnetic_moment_mub_per_atom": 0.001, "e_form_ev_per_atom": -0.091, "sg": "F-43m", "final_energy_ev_per_atom": -4.657, "cell": [[-2.600, -4.330, -0.633], [0.319, -3.693, 3.488], [-3.991, -1.032, 2.987]], "species": ["Ca", "Pa", "Al", "Ga"], "frac_coords": [[0.500, 0.500, 0.500], [0.000, 0.000, 0.000], [0.750, 0.750, 0.750], [0.250, 0.250, 0.250]]}

---

{"formula": "Li2CrTc", "functional": "PBE-GGA", "state": "optimized geometry", "magnetic_moment_mub_per_atom": 0.339, "e_form_ev_per_atom": 0.313, "sg": "Immm", "final_energy_ev_per_atom": -5.641, "de_polymorph_mev_per_atom": 74.2, "cell": [[5.268, -0.008, 0.032], [4.397, 2.902, 0.032], [1.374, 0.412, 3.561]], "species": ["Cr", "Li", "Li", "Tc"], "frac_coords": [[0.250, 0.250, 0.250], [0.999, 0.999, 0.001], [0.501, 0.501, 0.499], [0.750, 0.750, 0.750]]}

---

{"formula": "Ac2ZnTe", "functional": "PBE-GGA", "state": "optimized geometry", "raw_formation_energy_ev_per_atom": -0.281, "magnetic_moment_mub_per_atom": 0.000, "sg": "R-3m", "final_energy_ev_per_atom": -3.440, "de_polymorph_mev_per_atom": 450.5, "cell": [[-4.105, -0.279, -1.254], [-2.875, -2.018, 2.483], [-4.513, 8.598, 5.486]], "species": ["Ac", "Ac", "Te", "Zn"], "frac_coords": [[0.100, 0.100, 0.699], [0.900, 0.900, 0.301], [0.500, 0.500, 0.500], [0.000, 0.000, 0.000]]}